1.
Ti3AlIn: relaxed, PBE-GGA.

Lattice parameters (Å, degrees): 4.721 4.721 4.721 90.00 90.00 90.00
Space group Pm-3m (No. 221)
Asymmetric unit:
Ti (0.000, 0.000, 0.500) (multiplicity 3)
Al (0.000, 0.000, 0.000) (multiplicity 1)
In (0.500, 0.500, 0.500) (multiplicity 1)

Values from the calculation:
Its formation energy is 0.488 eV per atom. The total energy comes out at -27.7 eV per cell. The energy above the lowest structure with this stoichiometry is 0.446 eV per atom. For the magnetization, the calculation gives 0.0 μB/f.u. For the density of states at the Fermi level, the calculation gives 1.020 states/eV/atom.

2.
AcHgGe2: relaxed, PBE-GGA.

Lattice parameters (Å, degrees): 4.151 6.085 8.933 90.00 90.00 90.00
Space group Amm2 (No. 38)
Asymmetric unit:
Ac (0.000, 0.000, 0.000) (multiplicity 2)
Hg (0.500, 0.000, 0.555) (multiplicity 2)
Ge (0.500, 0.205, 0.278) (multiplicity 4)

Values from the calculation:
Its formation energy is -0.227 eV per atom. The total energy comes out at -29.1 eV per cell. The energy above the lowest structure with this stoichiometry is 0.183 eV per atom. For the magnetization, the calculation gives 0.0 μB/f.u. For the density of states at the Fermi level, the calculation gives 0.473 states/eV/atom.

3.
ZrRu2: relaxed, PBE-GGA.

Lattice parameters (Å, degrees): 3.970 3.970 24.962 90.00 90.00 90.00
Space group I4_1/amd (No. 141, origin choice 2)
Asymmetric unit:
Zr (0.000, 0.250, 0.300) (multiplicity 8)
Ru (0.000, 0.250, 0.126) (multiplicity 8)
Ru (0.000, 0.250, 0.794) (multiplicity 8)

Values from the calculation:
Its formation energy is -0.219 eV per atom. The total energy comes out at -222.1 eV per cell. For the magnetization, the calculation gives 0.0 μB/f.u. For the density of states at the Fermi level, the calculation gives 1.178 states/eV/atom.

4.
Sc2MnRe3: relaxed, PBE-GGA.

Lattice parameters (Å, degrees): 5.2091 5.2091 12.8189 90.00 90.00 120.00
Space group R-3m (No. 166, hexagonal axes)
Asymmetric unit:
Sc (0.0000, 0.0000, 0.1251) (multiplicity 6)
Mn (0.0000, 0.0000, 0.5000) (multiplicity 3)
Re (0.0000, 0.5000, 0.0000) (multiplicity 9)

Values from the calculation:
Its formation energy is -0.282 eV per atom. The total energy comes out at -182.6 eV per cell. For the magnetization, the calculation gives 1.3 μB/f.u. For the density of states at the Fermi level, the calculation gives 0.672 states/eV/atom.

5.
TePb2N: relaxed, PBE-GGA.

Lattice parameters (Å, degrees): 7.433 7.433 7.433 90.00 90.00 90.00
Space group Fm-3m (No. 225)
Asymmetric unit:
Te (0.000, 0.000, 0.000) (multiplicity 4)
Pb (0.250, 0.250, 0.250) (multiplicity 8)
N (0.000, 0.000, 0.500) (multiplicity 4)

Values from the calculation:
The total energy comes out at -61.2 eV per cell. For the uncorrected formation energy, the calculation gives 895 meV/atom. The energy above the lowest structure with this stoichiometry is 0.534 eV per atom. For the magnetization, the calculation gives 1.2 μB/f.u. For the density of states at the Fermi level, the calculation gives 0.490 states/eV/atom.

6.
ZrTc2: relaxed, PBE-GGA.

Lattice parameters (Å, degrees): 4.532 13.891 3.194 90.00 90.00 90.00
Space group Cmcm (No. 63)
Asymmetric unit:
Zr (0.000, 0.091, 0.250) (multiplicity 4)
Tc (0.000, 0.255, 0.750) (multiplicity 4)
Tc (0.000, 0.413, 0.250) (multiplicity 4)

Values from the calculation:
Its formation energy is -0.072 eV per atom. The total energy comes out at -118.0 eV per cell. The energy above the lowest structure with this stoichiometry is 0.240 eV per atom. For the magnetization, the calculation gives 0.0 μB/f.u. For the density of states at the Fermi level, the calculation gives 0.929 states/eV/atom.

7.
Pm3In4Hg2: relaxed, PBE-GGA.

Lattice parameters (Å, degrees): 11.453 4.941 9.390 90.00 116.01 90.00
Space group C2/m (No. 12)
Asymmetric unit:
Pm (0.000, 0.000, 0.000) (multiplicity 2)
Pm (0.169, 0.500, 0.661) (multiplicity 4)
In (0.037, 0.000, 0.370) (multiplicity 4)
In (0.228, 0.500, 0.065) (multiplicity 4)
Hg (0.127, 0.500, 0.296) (multiplicity 4)

Values from the calculation:
Its formation energy is -0.461 eV per atom. The total energy comes out at -59.9 eV per cell. The energy above the lowest structure with this stoichiometry is 0.000 eV per atom. For the magnetization, the calculation gives 0.0 μB/f.u. For the density of states at the Fermi level, the calculation gives 0.688 states/eV/atom.

8.
HfMg5Sc4: relaxed, PBE-GGA.

Lattice parameters (Å, degrees): 3.547 3.547 18.101 90.00 90.00 90.00
Space group P4/mmm (No. 123)
Asymmetric unit:
Hf (0.000, 0.000, 0.000) (multiplicity 1)
Mg (0.500, 0.500, 0.096) (multiplicity 2)
Mg (0.500, 0.500, 0.297) (multiplicity 2)
Mg (0.500, 0.500, 0.500) (multiplicity 1)
Sc (0.000, 0.000, 0.194) (multiplicity 2)
Sc (0.000, 0.000, 0.399) (multiplicity 2)

Values from the calculation:
Its formation energy is 0.011 eV per atom. The total energy comes out at -43.1 eV per cell. For the magnetization, the calculation gives 0.0 μB/f.u. For the density of states at the Fermi level, the calculation gives 1.170 states/eV/atom.

For the records above, the corresponding density values read 4.5, 8.4, 9.9, 11.6, 9.0, 9.5, 9.0, 3.5 g/cm³.